(1)
Zr2TaMn | SCAN | single point on PBEsol structure

D(E_F)   8.66 states/eV/cell
Distance to the lowest polymorph of the same formula   0 meV/atom
Final energy   -36.444 eV per atom

Cell lengths 4.2368, 4.2368, 8.3059 Å; angles 90.00, 90.00, 90.00 degrees
Last column: nearest neighbours and their distance in Å.
Fractional positions:
Zr: 0.0000 0.5000 0.2500  4 Ta 2.97, 4 Mn 2.97, 4 Zr 3.00
Zr: 0.0000 0.5000 0.7500  4 Mn 2.97, 4 Ta 2.97, 4 Zr 3.00
Zr: 0.5000 0.0000 0.2500  4 Ta 2.97, 4 Mn 2.97, 4 Zr 3.00
Zr: 0.5000 0.0000 0.7500  4 Mn 2.97, 4 Ta 2.97, 4 Zr 3.00
Ta: 0.0000 0.0000 0.0000  8 Zr 2.97, 4 Mn 3.00
Ta: 0.5000 0.5000 0.5000  8 Zr 2.97, 4 Mn 3.00
Mn: 0.0000 0.0000 0.5000  8 Zr 2.97, 4 Ta 3.00
Mn: 0.5000 0.5000 0.0000  8 Zr 2.97, 4 Ta 3.00


(2)
CsRe3S | SCAN | single point on PBEsol structure

D(E_F)   2.86 states/eV/cell
Final energy   -50.133 eV per atom
Formation energy (no corrections)   2013 meV/atom

Cell lengths 4.5471, 4.5471, 4.5471 Å; angles 90.00, 90.00, 90.00 degrees
Last column: nearest neighbours and their distance in Å.
Fractional positions:
Cs: 0.0000 0.0000 0.0000  12 Re 3.22
Re: 0.0000 0.5000 0.5000  2 S 2.27
Re: 0.5000 0.0000 0.5000  2 S 2.27
Re: 0.5000 0.5000 0.0000  2 S 2.27
S: 0.5000 0.5000 0.5000  6 Re 2.27